Below is crystalline La5Cd2Os at its relaxed geometry, with properties calculated at the PBE level.

CIF file:
```
data_La5Cd2Os
_chemical_formula_sum 'La10 Cd4 Os2'
_cell_length_a 8.311
_cell_length_b 12.402
_cell_length_c 4.933
_cell_angle_alpha 90.00
_cell_angle_beta 90.00
_cell_angle_gamma 90.00
_symmetry_space_group_name_H-M 'P 1'
_symmetry_Int_Tables_number 1
loop_
_symmetry_equiv_pos_as_xyz
'x,y,z'
loop_
_atom_site_label
_atom_site_type_symbol
_atom_site_fract_x
_atom_site_fract_y
_atom_site_fract_z
La1 La 0.000 0.000 0.000
La2 La 0.141 0.301 0.000
La3 La 0.182 0.569 0.500
La4 La 0.318 0.069 0.500
La5 La 0.359 0.801 0.000
La6 La 0.500 0.500 0.000
La7 La 0.641 0.199 0.000
La8 La 0.682 0.931 0.500
La9 La 0.818 0.431 0.500
La10 La 0.859 0.699 0.000
Cd1 Cd 0.074 0.833 0.500
Cd2 Cd 0.426 0.333 0.500
Cd3 Cd 0.574 0.667 0.500
Cd4 Cd 0.926 0.167 0.500
Os1 Os 0.000 0.500 0.000
Os2 Os 0.500 0.000 0.000
```

Energy relative to the elements, eV/f.u.: -1.8
DFT total energy, eV/cell: -78.971


Below is crystalline Y3TeW at its relaxed geometry, with properties calculated at the PBE level.

CIF file:
```
data_Y3TeW
_chemical_formula_sum 'Y3 Te1 W1'
_cell_length_a 5.550
_cell_length_b 5.550
_cell_length_c 5.550
_cell_angle_alpha 90.00
_cell_angle_beta 90.00
_cell_angle_gamma 90.00
_symmetry_space_group_name_H-M 'P 1'
_symmetry_Int_Tables_number 1
loop_
_symmetry_equiv_pos_as_xyz
'x,y,z'
loop_
_atom_site_label
_atom_site_type_symbol
_atom_site_fract_x
_atom_site_fract_y
_atom_site_fract_z
Y1 Y 0.000 0.000 0.500
Y2 Y 0.000 0.500 0.000
Y3 Y 0.500 0.000 0.000
Te1 Te 0.000 0.000 0.000
W1 W 0.500 0.500 0.500
```

Energy above the most stable polymorph in this dataset, meV/atom: 574.9
DFT total energy, eV/cell: -31.082
E_form (uncorrected), kcal/mol of atoms: 20.32


Below is crystalline Er2TmPaRu2 at its relaxed geometry, with properties calculated at the PBE level.

CIF file:
```
data_Er2TmPaRu2
_chemical_formula_sum 'Er4 Tm2 Pa2 Ru4'
_cell_length_a 8.289
_cell_length_b 8.289
_cell_length_c 8.289
_cell_angle_alpha 132.19
_cell_angle_beta 69.61
_cell_angle_gamma 132.60
_symmetry_space_group_name_H-M 'P 1'
_symmetry_Int_Tables_number 1
loop_
_symmetry_equiv_pos_as_xyz
'x,y,z'
loop_
_atom_site_label
_atom_site_type_symbol
_atom_site_fract_x
_atom_site_fract_y
_atom_site_fract_z
Er1 Er 0.194 0.207 0.401
Er2 Er 0.306 0.707 0.013
Er3 Er 0.694 0.293 0.987
Er4 Er 0.806 0.793 0.599
Tm1 Tm 0.250 0.750 0.500
Tm2 Tm 0.750 0.250 0.500
Pa1 Pa 0.250 0.250 0.000
Pa2 Pa 0.750 0.750 0.000
Ru1 Ru 0.105 0.792 0.897
Ru2 Ru 0.395 0.292 0.687
Ru3 Ru 0.605 0.708 0.313
Ru4 Ru 0.895 0.208 0.103
```

Energy relative to the elements, eV/f.u.: -1.8
DFT total energy, eV/cell: -86.949